Material: Tb2CuP
Method: DFT, PBE
State: optimized geometry

The space group is R3m (No. 160, hexagonal axes) and the conventional cell measures 3.9364, 3.9364 and 21.0128 Å, with angles of 90.00, 90.00 and 120.00 degrees. The asymmetric unit holds Tb at (0.0000, 0.0000, 0.0000), Tb at (0.0000, 0.0000, 0.1803), Cu at (0.0000, 0.0000, 0.4237) and P at (0.0000, 0.0000, 0.5892).

The spin magnetization comes out at 0.000 μB/atom. For the calculated total energy, the calculation gives -5.4596 eV/atom. For the density, the calculation gives 7.29 Mg/m³.



Material: BaLi2YBr8
Method: DFT, PBE
State: optimized geometry

The space group is P-3 (No. 147) and the conventional cell measures 7.0274, 7.0274 and 9.1552 Å, with angles of 90.00, 90.00 and 120.00 degrees. The asymmetric unit holds Ba at (0.0000, 0.0000, 0.0000), Li at (0.3333, 0.6667, 0.7235), Y at (0.0000, 0.0000, 0.5000), Br at (0.0157, 0.6981, 0.3082) and Br at (0.3333, 0.6667, 0.9976).

The spin magnetization comes out at 0.091 μB/atom. For the calculated total energy, the calculation gives -3.6764 eV/atom. For the density, the calculation gives 3.73 Mg/m³.



Material: Pu2InS4
Method: DFT, PBE
State: optimized geometry

The space group is Pbam (No. 55) and the conventional cell measures 7.0174, 11.3919 and 4.0194 Å, with angles of 90.00, 90.00 and 90.00 degrees. The asymmetric unit holds Pu at (0.0872, 0.1790, 0.0000), In at (0.0000, 0.5000, 0.5000), S at (0.1328, 0.7133, 0.5000) and S at (0.2469, 0.4507, 0.0000).

The spin magnetization comes out at 1.565 μB/atom. For the calculated total energy, the calculation gives -8.1096 eV/atom. For the density, the calculation gives 7.56 Mg/m³.



Material: CeSm6HoTm2
Method: DFT, PBE
State: optimized geometry

The space group is C2/m (No. 12) and the conventional cell measures 11.3136, 6.9383 and 8.8102 Å, with angles of 90.00, 104.40 and 90.00 degrees. The asymmetric unit holds Ce at (0.0000, 0.0000, 0.0000), Sm at (0.1274, 0.0000, 0.4183), Sm at (0.1710, 0.2645, 0.7993), Ho at (0.0000, 0.5000, 0.5000) and Tm at (0.0900, 0.5000, 0.1669).

The spin magnetization comes out at 0.146 μB/atom. For the calculated total energy, the calculation gives -4.5295 eV/atom. For the density, the calculation gives 7.66 Mg/m³.



Material: SrZn2W
Method: DFT, PBE
State: optimized geometry

The space group is Imm2 (No. 44) and the conventional cell measures 2.9162, 5.1870 and 10.3138 Å, with angles of 90.00, 90.00 and 90.00 degrees. The asymmetric unit holds Sr at (0.0000, 0.0000, 0.0000), Zn at (0.0000, 0.0000, 0.5074), Zn at (0.0000, 0.5000, 0.2279) and W at (0.0000, 0.5000, 0.7853).

The spin magnetization comes out at 0.000 μB/atom. For the calculated total energy, the calculation gives -3.6633 eV/atom. For the density, the calculation gives 8.56 Mg/m³.



Material: Dy3Be4Ir4
Method: DFT, PBE
State: optimized geometry

The space group is I-43m (No. 217) and the conventional cell measures 7.0560, 7.0560 and 7.0560 Å, with angles of 90.00, 90.00 and 90.00 degrees. The asymmetric unit holds Dy at (0.0000, 0.0000, 0.5000), Be at (0.1112, 0.1112, 0.1112) and Ir at (0.2021, 0.2021, 0.7979).

The spin magnetization comes out at 0.000 μB/atom. For the calculated total energy, the calculation gives -6.4101 eV/atom. For the density, the calculation gives 12.22 Mg/m³.



Material: ReBRh3
Method: DFT, PBE
State: optimized geometry

The space group is Pm-3m (No. 221) and the conventional cell measures 4.6939, 4.6939 and 4.6939 Å, with angles of 90.00, 90.00 and 90.00 degrees. The asymmetric unit holds Re at (0.0000, 0.0000, 0.0000), B at (0.5000, 0.5000, 0.5000) and Rh at (0.0000, 0.0000, 0.5000).

The spin magnetization comes out at 0.000 μB/atom. For the calculated total energy, the calculation gives -6.1831 eV/atom. For the density, the calculation gives 8.12 Mg/m³.



Material: LiSnPtAu
Method: DFT, PBE
State: optimized geometry

The space group is F-43m (No. 216) and the conventional cell measures 6.4930, 6.4930 and 6.4930 Å, with angles of 90.00, 90.00 and 90.00 degrees. The asymmetric unit holds Li at (0.0000, 0.0000, 0.0000), Sn at (0.0000, 0.0000, 0.5000), Pt at (0.2500, 0.2500, 0.7500) and Au at (0.2500, 0.2500, 0.2500).

The spin magnetization comes out at 0.000 μB/atom. For the calculated total energy, the calculation gives -4.2629 eV/atom. For the density, the calculation gives 12.56 Mg/m³.